# InH2AuBr | Alexandria via LeMat-Bulk | PBE | relaxed
# Magnetization   0.00 μB/f.u.
# Uncorrected energy   -2.49 eV/atom
data_InH2AuBr
_chemical_formula_sum 'In1 H2 Au1 Br1'
_symmetry_space_group_name_H-M 'P 4/m m m'
_symmetry_Int_Tables_number 123
_symmetry_space_group_name_Hall '-P 4 2'
_cell_length_a 3.872
_cell_length_b 3.872
_cell_length_c 6.630
_cell_angle_alpha 90.00
_cell_angle_beta 90.00
_cell_angle_gamma 90.00
loop_
_atom_site_label
_atom_site_type_symbol
_atom_site_fract_x
_atom_site_fract_y
_atom_site_fract_z
In1 In 0.000 0.000 0.000
H1 H 0.000 0.500 0.500
Au1 Au 0.500 0.500 0.000
Br1 Br 0.000 0.000 0.500



# AcCePrCo2 | Alexandria via LeMat-Bulk | PBE | relaxed
# Magnetization   0.00 μB/f.u.
# Uncorrected energy   -5.88 eV/atom
data_AcCePrCo2
_chemical_formula_sum 'Ac4 Ce4 Pr4 Co8'
_symmetry_space_group_name_H-M 'C 1 2/m 1'
_symmetry_Int_Tables_number 12
_cell_length_a 15.055
_cell_length_b 3.976
_cell_length_c 11.304
_cell_angle_alpha 90.00
_cell_angle_beta 129.73
_cell_angle_gamma 90.00
loop_
_symmetry_equiv_pos_as_xyz
'x,y,z'
'-x,-y,-z'
'-x,y,-z'
'x,-y,z'
'x+1/2,y+1/2,z'
'-x+1/2,-y+1/2,-z'
'-x+1/2,y+1/2,-z'
'x+1/2,-y+1/2,z'
loop_
_atom_site_label
_atom_site_type_symbol
_atom_site_fract_x
_atom_site_fract_y
_atom_site_fract_z
Ac1 Ac 0.155 0.000 0.203
Ce1 Ce 0.109 0.000 0.494
Pr1 Pr 0.104 0.500 0.854
Co1 Co 0.153 0.000 0.725
Co2 Co 0.164 0.500 0.416



# NdBi2PtO6 | Alexandria via LeMat-Bulk | PBE | relaxed
# Magnetization   1.03 μB/f.u.
# ΔE_f (raw)   -14.15 eV/f.u.
data_NdBi2PtO6
_chemical_formula_sum 'Nd1 Bi2 Pt1 O6'
_symmetry_space_group_name_H-M 'P 1'
_symmetry_Int_Tables_number 1
_cell_length_a 5.925
_cell_length_b 5.935
_cell_length_c 5.996
_cell_angle_alpha 60.47
_cell_angle_beta 65.33
_cell_angle_gamma 89.90
loop_
_symmetry_equiv_pos_as_xyz
'x,y,z'
loop_
_atom_site_label
_atom_site_type_symbol
_atom_site_fract_x
_atom_site_fract_y
_atom_site_fract_z
Nd1 Nd 0.000 0.000 0.000
Bi1 Bi 0.293 0.694 0.487
Bi2 Bi 0.709 0.177 0.515
Pt1 Pt 0.496 0.510 0.006
O1 O 0.114 0.350 0.511
O2 O 0.331 0.359 0.853
O3 O 0.348 0.829 0.848
O4 O 0.654 0.670 0.160
O5 O 0.660 0.203 0.156
O6 O 0.894 0.866 0.483



# MgTl2Au | Alexandria via LeMat-Bulk | PBE | relaxed
# Magnetization   0.00 μB/f.u.
# Energy above the lowest structure with this stoichiometry   167 meV/atom
data_MgTl2Au
_chemical_formula_sum 'Mg1 Tl2 Au1'
_symmetry_space_group_name_H-M 'P 1 2/m 1'
_symmetry_Int_Tables_number 10
_cell_length_a 3.433
_cell_length_b 5.069
_cell_length_c 5.697
_cell_angle_alpha 90.00
_cell_angle_beta 96.87
_cell_angle_gamma 90.00
loop_
_symmetry_equiv_pos_as_xyz
'x,y,z'
'-x,-y,-z'
'-x,y,-z'
'x,-y,z'
loop_
_atom_site_label
_atom_site_type_symbol
_atom_site_fract_x
_atom_site_fract_y
_atom_site_fract_z
Mg1 Mg 0.000 0.000 0.000
Tl1 Tl 0.281 0.500 0.742
Au1 Au 0.500 0.000 0.500